Entry 1:
Compound: PrMgIr
Source: Alexandria
Functional: PBE
Structure: relaxed

a b c (Å): 4.764 4.764 4.764
angles (deg): 60.00 60.00 60.00
Fractional coordinates of all 3 atoms:
Pr: 0.000 0.000 0.000
Mg: 0.500 0.500 0.500
Ir: 0.250 0.250 0.250

Computed properties:
- calculated total energy (eV/atom) = -5.4704


Entry 2:
Compound: Pr3Mg5Ir2
Source: Alexandria
Functional: PBE
Structure: relaxed

a b c (Å): 9.485 9.485 9.485
angles (deg): 99.58 93.37 140.78
Fractional coordinates of all 20 atoms:
Pr: 0.165 0.246 0.411
Pr: 0.250 0.250 0.000
Pr: 0.335 0.746 0.081
Pr: 0.665 0.254 0.919
Pr: 0.750 0.750 0.000
Pr: 0.835 0.754 0.589
Mg: 0.015 0.750 0.265
Mg: 0.080 0.676 0.757
Mg: 0.250 0.750 0.500
Mg: 0.420 0.176 0.596
Mg: 0.485 0.750 0.735
Mg: 0.515 0.250 0.265
Mg: 0.580 0.824 0.404
Mg: 0.750 0.250 0.500
Mg: 0.920 0.324 0.243
Mg: 0.985 0.250 0.735
Ir: 0.153 0.870 0.023
Ir: 0.347 0.370 0.717
Ir: 0.653 0.630 0.283
Ir: 0.847 0.130 0.977

Computed properties:
- calculated total energy (eV/atom) = -4.2413


Entry 3:
Compound: Pr2MgIr
Source: Alexandria
Functional: PBE
Structure: relaxed

a b c (Å): 3.690 3.690 7.816
angles (deg): 90.00 90.00 90.00
Fractional coordinates of all 4 atoms:
Pr: 0.000 0.000 0.213
Pr: 0.000 0.000 0.787
Mg: 0.500 0.500 0.500
Ir: 0.500 0.500 0.000

Computed properties:
- ΔE to the lowest computed polymorph (eV per formula unit) = 0.00


Entry 4:
Compound: Pr4MgIr2
Source: Alexandria
Functional: PBE
Structure: relaxed

a b c (Å): 7.558 7.560 8.213
angles (deg): 104.73 104.73 96.14
Fractional coordinates of all 14 atoms:
Pr: 0.000 0.000 0.000
Pr: 0.001 0.439 0.859
Pr: 0.468 0.470 0.513
Pr: 0.531 0.060 0.153
Pr: 0.531 0.530 0.999
Pr: 0.559 0.998 0.662
Pr: 0.937 0.468 0.369
Pr: 0.997 0.998 0.521
Mg: 0.228 0.770 0.760
Mg: 0.255 0.743 0.259
Ir: 0.288 0.163 0.857
Ir: 0.739 0.248 0.519
Ir: 0.752 0.259 0.003
Ir: 0.834 0.710 0.665

Computed properties:
- calculated total energy (eV/atom) = -5.8324


Entry 5:
Compound: Pr2MgIr
Source: Alexandria
Functional: PBE
Structure: relaxed

a b c (Å): 4.133 4.133 8.889
angles (deg): 103.54 103.54 60.16
Fractional coordinates of all 4 atoms:
Pr: 0.228 0.228 0.185
Pr: 0.772 0.772 0.815
Mg: 0.998 0.002 0.500
Ir: 0.499 0.501 0.000

Computed properties:
- ΔE to the lowest computed polymorph (eV per formula unit) = 0.17


Entry 6:
Compound: PrMg8Ir4
Source: Alexandria
Functional: PBE
Structure: relaxed

a b c (Å): 7.130 7.130 7.130
angles (deg): 99.29 99.29 132.63
Fractional coordinates of all 13 atoms:
Pr: 0.000 0.000 0.000
Mg: 0.000 0.333 0.333
Mg: 0.000 0.667 0.667
Mg: 0.276 0.500 0.776
Mg: 0.333 0.000 0.333
Mg: 0.500 0.276 0.776
Mg: 0.500 0.724 0.224
Mg: 0.667 0.000 0.667
Mg: 0.724 0.500 0.224
Ir: 0.000 0.000 0.500
Ir: 0.000 0.500 0.000
Ir: 0.500 0.000 0.000
Ir: 0.500 0.500 0.500

Computed properties:
- calculated total energy (eV/atom) = -4.4068


Entry 7:
Compound: Pr3Mg7Ir4
Source: Alexandria
Functional: PBE
Structure: relaxed

a b c (Å): 8.448 8.448 10.570
angles (deg): 123.56 123.56 29.27
Fractional coordinates of all 14 atoms:
Pr: 0.000 0.000 0.000
Pr: 0.301 0.301 0.282
Pr: 0.699 0.699 0.718
Mg: 0.000 0.000 0.500
Mg: 0.170 0.170 0.429
Mg: 0.320 0.320 0.989
Mg: 0.487 0.487 0.712
Mg: 0.513 0.513 0.288
Mg: 0.680 0.680 0.011
Mg: 0.830 0.830 0.571
Ir: 0.107 0.107 0.810
Ir: 0.336 0.336 0.740
Ir: 0.664 0.664 0.260
Ir: 0.893 0.893 0.190

Computed properties:
- calculated total energy (eV/atom) = -4.7828


Entry 8:
Compound: Pr6MgIr
Source: Alexandria
Functional: PBE
Structure: relaxed

a b c (Å): 7.052 7.061 7.902
angles (deg): 90.07 116.46 119.94
Fractional coordinates of all 8 atoms:
Pr: 0.044 0.077 0.245
Pr: 0.278 0.701 0.244
Pr: 0.332 0.533 0.755
Pr: 0.668 0.467 0.245
Pr: 0.722 0.299 0.756
Pr: 0.956 0.923 0.755
Mg: 0.500 0.000 0.000
Ir: 0.500 0.500 0.500

Computed properties:
- calculated total energy (eV/atom) = -4.8689


Entry 9:
Compound: Pr3MgIr8
Source: Alexandria
Functional: PBE
Structure: relaxed

a b c (Å): 9.373 9.373 9.373
angles (deg): 33.55 33.55 33.55
Fractional coordinates of all 12 atoms:
Pr: 0.000 0.000 0.000
Pr: 0.127 0.127 0.127
Pr: 0.506 0.506 0.506
Mg: 0.630 0.630 0.630
Ir: 0.062 0.565 0.565
Ir: 0.066 0.066 0.567
Ir: 0.066 0.567 0.066
Ir: 0.315 0.315 0.315
Ir: 0.565 0.062 0.565
Ir: 0.565 0.565 0.062
Ir: 0.567 0.066 0.066
Ir: 0.815 0.815 0.815

Computed properties:
- calculated total energy (eV/atom) = -7.7875


Entry 10:
Compound: Pr2MgSb3Ir4
Source: Alexandria
Functional: PBE
Structure: relaxed

a b c (Å): 4.342 4.342 11.334
angles (deg): 90.00 90.00 90.00
Fractional coordinates of all 10 atoms:
Pr: 0.000 0.500 0.248
Pr: 0.500 0.000 0.752
Mg: 0.500 0.500 0.000
Sb: 0.000 0.000 0.000
Sb: 0.000 0.500 0.635
Sb: 0.500 0.000 0.365
Ir: 0.000 0.000 0.500
Ir: 0.000 0.500 0.861
Ir: 0.500 0.000 0.139
Ir: 0.500 0.500 0.500

Computed properties:
- E_form (uncorrected) (kJ/mol of formula units) = -600


Entry 11:
Compound: Pr2MgSi4Ir3
Source: Alexandria
Functional: PBE
Structure: relaxed

a b c (Å): 4.235 4.235 10.211
angles (deg): 90.00 90.00 90.00
Fractional coordinates of all 10 atoms:
Pr: 0.000 0.500 0.238
Pr: 0.500 0.000 0.762
Mg: 0.000 0.000 0.500
Si: 0.000 0.000 0.000
Si: 0.000 0.500 0.645
Si: 0.500 0.000 0.355
Si: 0.500 0.500 0.000
Ir: 0.000 0.500 0.881
Ir: 0.500 0.000 0.119
Ir: 0.500 0.500 0.500

Computed properties:
- E_form (uncorrected) (kJ/mol of formula units) = -822


Entry 12:
Compound: PrMg2Si2Ir
Source: Alexandria
Functional: PBE
Structure: relaxed

a b c (Å): 6.508 6.508 6.508
angles (deg): 134.46 134.46 66.37
Fractional coordinates of all 6 atoms:
Pr: 0.000 0.000 0.000
Mg: 0.250 0.750 0.500
Mg: 0.750 0.250 0.500
Si: 0.292 0.292 0.000
Si: 0.708 0.708 0.000
Ir: 0.500 0.500 0.000

Computed properties:
- E_form (uncorrected) (kJ/mol of formula units) = 26


no.,D(E_F) (states/eV/f.u.)
1,0.820
2,6.476
3,2.296
4,5.733
5,3.258
6,12.642
7,6.199
8,9.788
9,14.701
10,4.136
11,5.047
12,3.848